Record 1
DFT (PBE) results for a relaxed BeFeB2 crystal.

Cell: 3.4338 3.4338 3.4338 Å, 60.00 60.00 60.00°
With the nearest neighbours (Å) after each atom.
Atoms (fractional coordinates):
Fe (0.7500, 0.7500, 0.7500)  4 Be 2.10, 4 B 2.10
B (0.2500, 0.2500, 0.2500)  4 Be 2.10, 4 B 2.10
B (0.0000, 0.0000, 0.0000)  4 Fe 2.10, 4 B 2.10
Be (0.5000, 0.5000, 0.5000)  4 Fe 2.10, 4 B 2.10

Calculated values
* uncorrected energy: -23.4 eV/cell

Record 2
DFT (PBE) results for a relaxed BeFe2B crystal.

Cell: 3.6726 3.6726 3.6726 Å, 60.00 60.00 60.00°
With the nearest neighbours (Å) after each atom.
Atoms (fractional coordinates):
Be (0.2500, 0.2500, 0.2500)  4 B 2.25, 4 Fe 2.25
Fe (0.7500, 0.7500, 0.7500)  4 B 2.25, 4 Fe 2.25
Fe (0.5000, 0.5000, 0.5000)  4 Be 2.25, 4 Fe 2.25
B (0.0000, 0.0000, 0.0000)  4 Be 2.25, 4 Fe 2.25

Calculated values
* offset from the most stable computed form: 0.255 eV/atom

Record 3
DFT (PBE) results for a relaxed BeFeB4 crystal.

Cell: 4.1724 4.1724 4.1724 Å, 139.41 104.62 89.33°
With the nearest neighbours (Å) after each atom.
Atoms (fractional coordinates):
B (0.0786, 0.7411, 0.3375)  3 B 1.66-1.70
B (0.9214, 0.2589, 0.6625)  3 B 1.66-1.70
B (0.4035, 0.7411, 0.6625)  3 B 1.66-1.70
B (0.5965, 0.2589, 0.3375)  3 B 1.66-1.70
Be (0.0000, 0.0000, 0.0000)  12 B 2.20-2.31
Fe (0.5000, 0.5000, 0.0000)  12 B 2.24-2.27

Calculated values
* offset from the most stable computed form: 0.000 eV/atom

Record 4
DFT (PBE) results for a relaxed BeFe2B crystal.

Cell: 5.1166 5.1166 5.1166 Å, 90.00 90.00 90.00°
With the nearest neighbours (Å) after each atom.
Atoms (fractional coordinates):
Fe (0.7615, 0.7615, 0.2385)  4 B 2.11-2.18, 4 Be 2.25-2.32
Fe (0.2385, 0.2385, 0.2385)  4 B 2.11-2.18, 4 Be 2.25-2.32
Fe (0.7615, 0.2385, 0.2385)  4 B 2.11-2.18, 4 Be 2.25-2.32
Fe (0.7615, 0.7615, 0.7615)  4 B 2.11-2.18, 4 Be 2.25-2.32
Fe (0.2385, 0.7615, 0.7615)  4 B 2.11-2.18, 4 Be 2.25-2.32
Fe (0.2385, 0.2385, 0.7615)  4 B 2.11-2.18, 4 Be 2.25-2.32
Fe (0.2385, 0.7615, 0.2385)  4 B 2.11-2.18, 4 Be 2.25-2.32
Fe (0.7615, 0.2385, 0.7615)  4 B 2.11-2.18, 4 Be 2.25-2.32
Be (0.5000, 0.0000, 0.5000)  8 Fe 2.25
Be (0.0000, 0.5000, 0.5000)  8 Fe 2.25
Be (0.5000, 0.5000, 0.0000)  8 Fe 2.25
Be (0.5000, 0.5000, 0.5000)  8 Fe 2.32, 6 Be 2.56
B (0.0000, 0.0000, 0.0000)  8 Fe 2.11
B (0.0000, 0.0000, 0.5000)  8 Fe 2.18
B (0.0000, 0.5000, 0.0000)  8 Fe 2.18
B (0.5000, 0.0000, 0.0000)  8 Fe 2.18

Calculated values
* offset from the most stable computed form: 0.000 eV/atom

Record 5
DFT (PBE) results for a relaxed Be2Fe5B2 crystal.

Cell: 16.7169 16.7169 16.7169 Å, 8.37 8.37 8.37°
With the nearest neighbours (Å) after each atom.
Atoms (fractional coordinates):
B (0.9222, 0.9222, 0.9222)  4 Fe 2.01-2.07
B (0.1034, 0.1034, 0.1034)  6 Fe 2.06-2.07
Fe (0.4670, 0.4670, 0.4670)  3 B 2.07, 1 Be 2.17
Fe (0.6191, 0.6191, 0.6191)  3 B 2.07
Fe (0.9923, 0.9923, 0.9923)  3 Be 2.31, 9 Fe 2.44
Fe (0.7400, 0.7400, 0.7400)  3 B 2.06, 1 Be 2.22
Fe (0.8820, 0.8820, 0.8820)  1 B 2.01
Be (0.6955, 0.6955, 0.6955)  4 Fe 2.22-2.31, 6 Be 2.44
Be (0.5105, 0.5105, 0.5105)  4 Fe 2.17-2.37

Calculated values
* uncorrected energy: -59.9 eV/cell

Record 6
DFT (PBE) results for a relaxed HfBeFeB crystal.

Cell: 3.9840 3.9840 3.9840 Å, 60.00 60.00 60.00°
With the nearest neighbours (Å) after each atom.
Atoms (fractional coordinates):
B (0.0000, 0.0000, 0.0000)  4 Be 2.44, 4 Fe 2.44
Be (0.2500, 0.2500, 0.2500)  4 B 2.44, 4 Hf 2.44
Hf (0.5000, 0.5000, 0.5000)  4 Fe 2.44, 4 Be 2.44
Fe (0.7500, 0.7500, 0.7500)  4 Hf 2.44, 4 B 2.44

Calculated values
* offset from the most stable computed form: 0.342 eV/atom

Record 7
DFT (PBE) results for a relaxed HfBeFeB crystal.

Cell: 3.9448 3.9448 3.9448 Å, 60.00 60.00 60.00°
With the nearest neighbours (Å) after each atom.
Atoms (fractional coordinates):
Fe (0.7500, 0.7500, 0.7500)  4 B 2.42, 4 Be 2.42
B (0.0000, 0.0000, 0.0000)  4 Fe 2.42, 4 Hf 2.42
Hf (0.2500, 0.2500, 0.2500)  4 Be 2.42, 4 B 2.42
Be (0.5000, 0.5000, 0.5000)  4 Fe 2.42, 4 Hf 2.42

Calculated values
* offset from the most stable computed form: 0.000 eV/atom

Record 8
DFT (PBE) results for a relaxed BeFeHgB crystal.

Cell: 3.9925 3.9925 3.9925 Å, 60.00 60.00 60.00°
With the nearest neighbours (Å) after each atom.
Atoms (fractional coordinates):
Fe (0.7500, 0.7500, 0.7500)  4 Be 2.44, 4 B 2.44
B (0.0000, 0.0000, 0.0000)  4 Fe 2.44, 4 Hg 2.44
Be (0.5000, 0.5000, 0.5000)  4 Fe 2.44, 4 Hg 2.44
Hg (0.2500, 0.2500, 0.2500)  4 Be 2.44, 4 B 2.44

Calculated values
* offset from the most stable computed form: 0.000 eV/atom